[1]
The following is a PBEsol calculation of a relaxed BeCo2W crystal, from Alexandria.

Structure (CIF):
```
data_BeCo2W
_chemical_formula_sum 'Be2 Co4 W2'
_cell_length_a 3.586
_cell_length_b 3.586
_cell_length_c 6.767
_cell_angle_alpha 90.00
_cell_angle_beta 90.00
_cell_angle_gamma 90.00
_symmetry_space_group_name_H-M 'I 4/m m m'
_symmetry_Int_Tables_number 139
_symmetry_space_group_name_Hall '-I 4 2'
loop_
_atom_site_label
_atom_site_type_symbol
_atom_site_fract_x
_atom_site_fract_y
_atom_site_fract_z
Be1 Be 0.000 0.000 0.000
Co1 Co 0.000 0.500 0.250
W1 W 0.000 0.000 0.500
```

Final energy (eV per cell): -67.6
Formation energy (eV per atom): -0.127



[2]
The following is a PBEsol calculation of a relaxed YBeCo crystal, from Alexandria.

Structure (CIF):
```
data_YBeCo
_chemical_formula_sum 'Y1 Be1 Co1'
_cell_length_a 3.7562
_cell_length_b 3.7562
_cell_length_c 3.8279
_cell_angle_alpha 90.00
_cell_angle_beta 90.00
_cell_angle_gamma 120.00
_symmetry_space_group_name_H-M 'P -6 m 2'
_symmetry_Int_Tables_number 187
_symmetry_space_group_name_Hall 'P -6 2'
loop_
_atom_site_label
_atom_site_type_symbol
_atom_site_fract_x
_atom_site_fract_y
_atom_site_fract_z
Y1 Y 0.0000 0.0000 0.0000
Be1 Be 0.3333 0.6667 0.5000
Co1 Co 0.6667 0.3333 0.5000
```

Final energy (eV per cell): -19.0
Excess energy over the best structure of this formula in the dataset (eV per formula unit): 0.00
Formation energy (eV per atom): -0.138



[3]
The following is a PBEsol calculation of a relaxed YBeCo crystal, from Alexandria.

Structure (CIF):
```
data_YBeCo
_chemical_formula_sum 'Y4 Be4 Co4'
_cell_length_a 6.091
_cell_length_b 6.091
_cell_length_c 6.091
_cell_angle_alpha 90.00
_cell_angle_beta 90.00
_cell_angle_gamma 90.00
_symmetry_space_group_name_H-M 'F -4 3 m'
_symmetry_Int_Tables_number 216
_symmetry_space_group_name_Hall 'F -4 2 3'
loop_
_atom_site_label
_atom_site_type_symbol
_atom_site_fract_x
_atom_site_fract_y
_atom_site_fract_z
Y1 Y 0.000 0.000 0.000
Be1 Be 0.250 0.250 0.250
Co1 Co 0.250 0.250 0.750
```

Final energy (eV per cell): -62.1
Excess energy over the best structure of this formula in the dataset (eV per formula unit): 3.45
Formation energy (eV per atom): 1.014



[4]
The following is a PBEsol calculation of a relaxed Be2ZnCo crystal, from Alexandria.

Structure (CIF):
```
data_Be2ZnCo
_chemical_formula_sum 'Be8 Zn4 Co4'
_cell_length_a 5.388
_cell_length_b 5.388
_cell_length_c 5.388
_cell_angle_alpha 90.00
_cell_angle_beta 90.00
_cell_angle_gamma 90.00
_symmetry_space_group_name_H-M 'F -4 3 m'
_symmetry_Int_Tables_number 216
_symmetry_space_group_name_Hall 'F -4 2 3'
loop_
_atom_site_label
_atom_site_type_symbol
_atom_site_fract_x
_atom_site_fract_y
_atom_site_fract_z
Be1 Be 0.000 0.000 0.000
Be2 Be 0.250 0.250 0.250
Zn1 Zn 0.250 0.250 0.750
Co1 Co 0.000 0.000 0.500
```

Final energy (eV per cell): -69.6
Formation energy (eV per atom): -0.021



[5]
The following is a PBEsol calculation of a relaxed BeZn2Co crystal, from Alexandria.

Structure (CIF):
```
data_BeZn2Co
_chemical_formula_sum 'Be4 Zn8 Co4'
_cell_length_a 5.606
_cell_length_b 5.606
_cell_length_c 5.606
_cell_angle_alpha 90.00
_cell_angle_beta 90.00
_cell_angle_gamma 90.00
_symmetry_space_group_name_H-M 'F -4 3 m'
_symmetry_Int_Tables_number 216
_symmetry_space_group_name_Hall 'F -4 2 3'
loop_
_atom_site_label
_atom_site_type_symbol
_atom_site_fract_x
_atom_site_fract_y
_atom_site_fract_z
Be1 Be 0.000 0.000 0.000
Zn1 Zn 0.000 0.000 0.500
Zn2 Zn 0.250 0.250 0.250
Co1 Co 0.250 0.250 0.750
```

Final energy (eV per cell): -59.6
Formation energy (eV per atom): 0.003



[6]
The following is a PBEsol calculation of a relaxed Be2ZnCo2 crystal, from Alexandria.

Structure (CIF):
```
data_Be2ZnCo2
_chemical_formula_sum 'Be4 Zn2 Co4'
_cell_length_a 5.904
_cell_length_b 5.904
_cell_length_c 2.681
_cell_angle_alpha 90.00
_cell_angle_beta 90.00
_cell_angle_gamma 90.00
_symmetry_space_group_name_H-M 'P 4/m b m'
_symmetry_Int_Tables_number 127
_symmetry_space_group_name_Hall '-P 4 2ab'
loop_
_atom_site_label
_atom_site_type_symbol
_atom_site_fract_x
_atom_site_fract_y
_atom_site_fract_z
Be1 Be 0.127 0.373 0.000
Zn1 Zn 0.000 0.000 0.000
Co1 Co 0.165 0.665 0.500
```

Final energy (eV per cell): -52.3
Excess energy over the best structure of this formula in the dataset (eV per formula unit): 0.00
Formation energy (eV per atom): -0.220



[7]
The following is a PBEsol calculation of a relaxed BeZnCo2 crystal, from Alexandria.

Structure (CIF):
```
data_BeZnCo2
_chemical_formula_sum 'Be1 Zn1 Co2'
_cell_length_a 2.653
_cell_length_b 2.653
_cell_length_c 5.638
_cell_angle_alpha 90.00
_cell_angle_beta 90.00
_cell_angle_gamma 90.00
_symmetry_space_group_name_H-M 'P 4/m m m'
_symmetry_Int_Tables_number 123
_symmetry_space_group_name_Hall '-P 4 2'
loop_
_atom_site_label
_atom_site_type_symbol
_atom_site_fract_x
_atom_site_fract_y
_atom_site_fract_z
Be1 Be 0.000 0.000 0.000
Zn1 Zn 0.000 0.000 0.500
Co1 Co 0.500 0.500 0.216
```

Final energy (eV per cell): -21.6
Excess energy over the best structure of this formula in the dataset (eV per formula unit): 0.00
Formation energy (eV per atom): -0.135



[8]
The following is a PBEsol calculation of a relaxed Be2ZnCo2 crystal, from Alexandria.

Structure (CIF):
```
data_Be2ZnCo2
_chemical_formula_sum 'Be4 Zn2 Co4'
_cell_length_a 2.850
_cell_length_b 2.850
_cell_length_c 12.390
_cell_angle_alpha 90.00
_cell_angle_beta 90.00
_cell_angle_gamma 90.00
_symmetry_space_group_name_H-M 'I 4/m m m'
_symmetry_Int_Tables_number 139
_symmetry_space_group_name_Hall '-I 4 2'
loop_
_atom_site_label
_atom_site_type_symbol
_atom_site_fract_x
_atom_site_fract_y
_atom_site_fract_z
Be1 Be 0.000 0.500 0.250
Zn1 Zn 0.000 0.000 0.000
Co1 Co 0.000 0.000 0.386
```

Final energy (eV per cell): -48.2
Excess energy over the best structure of this formula in the dataset (eV per formula unit): 2.05
Formation energy (eV per atom): 0.189